[1]
# ZnPb2SeO (PBE, relaxed)
# * formation energy without anion corrections: 456.9 meV per atom
data_ZnPb2SeO
_space_group_name_H-M_alt 'P 4/m m m'
_space_group_IT_number 123
_space_group_name_Hall '-P 4 2'
_cell_length_a 5.462
_cell_length_b 5.462
_cell_length_c 4.585
_cell_angle_alpha 90.00
_cell_angle_beta 90.00
_cell_angle_gamma 90.00
loop_
_atom_site_label
_atom_site_type_symbol
_atom_site_fract_x
_atom_site_fract_y
_atom_site_fract_z
_atom_site_occupancy
Zn1 Zn 0.000 0.000 0.000 1
Pb1 Pb 0.000 0.500 0.000 1
Se1 Se 0.000 0.000 0.500 1
O1 O 0.500 0.500 0.500 1

***

[2]
# PrTl2Au (PBE, relaxed)
# * energy relative to the lowest polymorph listed for this composition: 0.0 meV per atom
# * DFT formation energy: -0.441 eV per atom
data_PrTl2Au
_space_group_name_H-M_alt 'I 4/m m m'
_space_group_IT_number 139
_space_group_name_Hall '-I 4 2'
_cell_length_a 4.966
_cell_length_b 4.966
_cell_length_c 17.178
_cell_angle_alpha 90.00
_cell_angle_beta 90.00
_cell_angle_gamma 90.00
loop_
_atom_site_label
_atom_site_type_symbol
_atom_site_fract_x
_atom_site_fract_y
_atom_site_fract_z
_atom_site_occupancy
Pr1 Pr 0.000 0.000 0.139 1
Tl1 Tl 0.000 0.000 0.359 1
Tl2 Tl 0.000 0.500 0.000 1
Au1 Au 0.000 0.500 0.250 1

***

[3]
# BaRh2Cl (PBE, relaxed)
# * formation energy without anion corrections: -210.9 meV per atom
# * energy relative to the lowest polymorph listed for this composition: 103.0 meV per atom
data_BaRh2Cl
_space_group_name_H-M_alt 'I -4 2 d'
_space_group_IT_number 122
_space_group_name_Hall 'I -4 2bw'
_cell_length_a 5.218
_cell_length_b 5.218
_cell_length_c 14.997
_cell_angle_alpha 90.00
_cell_angle_beta 90.00
_cell_angle_gamma 90.00
loop_
_atom_site_label
_atom_site_type_symbol
_atom_site_fract_x
_atom_site_fract_y
_atom_site_fract_z
_atom_site_occupancy
Ba1 Ba 0.000 0.000 0.000 1
Rh1 Rh 0.037 0.750 0.625 1
Cl1 Cl 0.000 0.000 0.500 1

***

[4]
# KMgCd (PBE, relaxed)
# * energy relative to the lowest polymorph listed for this composition: 0.0 meV per atom
# * DFT formation energy: -0.023 eV per atom
data_KMgCd
_space_group_name_H-M_alt 'P 4/n m m'
_space_group_IT_number 129
_cell_length_a 4.931
_cell_length_b 4.931
_cell_length_c 8.563
_cell_angle_alpha 90.00
_cell_angle_beta 90.00
_cell_angle_gamma 90.00
loop_
_space_group_symop_operation_xyz
'x,y,z'
'-x,-y,-z'
'-y+1/2,x,z'
'y+1/2,-x,-z'
'-x+1/2,-y+1/2,z'
'x+1/2,y+1/2,-z'
'y,-x+1/2,z'
'-y,x+1/2,-z'
'x+1/2,-y,-z'
'-x+1/2,y,z'
'-y,-x,-z'
'y,x,z'
'-x,y+1/2,-z'
'x,-y+1/2,z'
'y+1/2,x+1/2,-z'
'-y+1/2,-x+1/2,z'
loop_
_atom_site_label
_atom_site_type_symbol
_atom_site_fract_x
_atom_site_fract_y
_atom_site_fract_z
_atom_site_occupancy
K1 K 0.250 0.250 0.149 1
Mg1 Mg 0.250 0.750 0.500 1
Cd1 Cd 0.250 0.250 0.697 1

***

[5]
# TlCuRe (PBE, relaxed)
# * energy relative to the lowest polymorph listed for this composition: 49.0 meV per atom
# * DFT formation energy: 0.837 eV per atom
data_TlCuRe
_space_group_name_H-M_alt 'I 4 m m'
_space_group_IT_number 107
_space_group_name_Hall 'I 4 -2'
_cell_length_a 2.807
_cell_length_b 2.807
_cell_length_c 13.600
_cell_angle_alpha 90.00
_cell_angle_beta 90.00
_cell_angle_gamma 90.00
loop_
_atom_site_label
_atom_site_type_symbol
_atom_site_fract_x
_atom_site_fract_y
_atom_site_fract_z
_atom_site_occupancy
Tl1 Tl 0.000 0.000 0.000 1
Cu1 Cu 0.000 0.000 0.312 1
Re1 Re 0.000 0.000 0.684 1

***

[6]
# LiYZrAl (PBE, relaxed)
# * DFT formation energy: -0.149 eV per atom
data_LiYZrAl
_space_group_name_H-M_alt 'F -4 3 m'
_space_group_IT_number 216
_space_group_name_Hall 'F -4 2 3'
_cell_length_a 7.003
_cell_length_b 7.003
_cell_length_c 7.003
_cell_angle_alpha 90.00
_cell_angle_beta 90.00
_cell_angle_gamma 90.00
loop_
_atom_site_label
_atom_site_type_symbol
_atom_site_fract_x
_atom_site_fract_y
_atom_site_fract_z
_atom_site_occupancy
Li1 Li 0.000 0.000 0.000 1
Y1 Y 0.250 0.250 0.750 1
Zr1 Zr 0.250 0.250 0.250 1
Al1 Al 0.000 0.000 0.500 1

***

[7]
# Pm3Cd5Sn2 (PBE, relaxed)
# * DFT formation energy: -0.284 eV per atom
data_Pm3Cd5Sn2
_space_group_name_H-M_alt 'I b a m'
_space_group_IT_number 72
_space_group_name_Hall '-I 2 2c'
_cell_length_a 12.899
_cell_length_b 13.324
_cell_length_c 6.332
_cell_angle_alpha 90.00
_cell_angle_beta 90.00
_cell_angle_gamma 90.00
loop_
_atom_site_label
_atom_site_type_symbol
_atom_site_fract_x
_atom_site_fract_y
_atom_site_fract_z
_atom_site_occupancy
Pm1 Pm 0.000 0.000 0.250 1
Pm2 Pm 0.123 0.256 0.000 1
Cd1 Cd 0.000 0.500 0.250 1
Cd2 Cd 0.121 0.367 0.500 1
Cd3 Cd 0.248 0.500 0.250 1
Sn1 Sn 0.129 0.161 0.500 1

***

[8]
# Al2SnP (PBE, relaxed)
# * energy relative to the lowest polymorph listed for this composition: 41.9 meV per atom
# * DFT formation energy: -0.073 eV per atom
data_Al2SnP
_space_group_name_H-M_alt 'I -4 2 d'
_space_group_IT_number 122
_space_group_name_Hall 'I -4 2bw'
_cell_length_a 5.990
_cell_length_b 5.990
_cell_length_c 11.324
_cell_angle_alpha 90.00
_cell_angle_beta 90.00
_cell_angle_gamma 90.00
loop_
_atom_site_label
_atom_site_type_symbol
_atom_site_fract_x
_atom_site_fract_y
_atom_site_fract_z
_atom_site_occupancy
Al1 Al 0.204 0.250 0.125 1
Sn1 Sn 0.000 0.000 0.500 1
P1 P 0.000 0.000 0.000 1

***

[9]
# NpAgAs2 (PBE, relaxed)
# * DFT formation energy: -0.188 eV per atom
data_NpAgAs2
_space_group_name_H-M_alt 'R -3 m'
_space_group_IT_number 166
_space_group_name_Hall '-R 3 2"'
_cell_length_a 4.3060
_cell_length_b 4.3060
_cell_length_c 16.2130
_cell_angle_alpha 90.00
_cell_angle_beta 90.00
_cell_angle_gamma 120.00
loop_
_atom_site_label
_atom_site_type_symbol
_atom_site_fract_x
_atom_site_fract_y
_atom_site_fract_z
_atom_site_occupancy
Np1 Np 0.0000 0.0000 0.0000 1
Ag1 Ag 0.0000 0.0000 0.5000 1
As1 As 0.0000 0.0000 0.2502 1

***

[10]
# CuHgMo2 (PBE, relaxed)
# * DFT formation energy: 0.416 eV per atom
data_CuHgMo2
_space_group_name_H-M_alt 'P 1 2/m 1'
_space_group_IT_number 10
_cell_length_a 2.750
_cell_length_b 4.346
_cell_length_c 5.429
_cell_angle_alpha 90.00
_cell_angle_beta 94.45
_cell_angle_gamma 90.00
loop_
_space_group_symop_operation_xyz
'x,y,z'
'-x,-y,-z'
'-x,y,-z'
'x,-y,z'
loop_
_atom_site_label
_atom_site_type_symbol
_atom_site_fract_x
_atom_site_fract_y
_atom_site_fract_z
_atom_site_occupancy
Cu1 Cu 0.000 0.000 0.000 1
Hg1 Hg 0.000 0.000 0.500 1
Mo1 Mo 0.469 0.500 0.223 1

***

[11]
# TaTeAsI2 (PBE, relaxed)
# * formation energy without anion corrections: 1230.0 meV per atom
# * energy relative to the lowest polymorph listed for this composition: 648.1 meV per atom
data_TaTeAsI2
_space_group_name_H-M_alt 'P 4/m m m'
_space_group_IT_number 123
_space_group_name_Hall '-P 4 2'
_cell_length_a 5.437
_cell_length_b 5.437
_cell_length_c 5.649
_cell_angle_alpha 90.00
_cell_angle_beta 90.00
_cell_angle_gamma 90.00
loop_
_atom_site_label
_atom_site_type_symbol
_atom_site_fract_x
_atom_site_fract_y
_atom_site_fract_z
_atom_site_occupancy
Ta1 Ta 0.000 0.000 0.000 1
Te1 Te 0.500 0.500 0.000 1
As1 As 0.500 0.500 0.500 1
I1 I 0.000 0.500 0.500 1

***

[12]
# Re2RuSe (PBE, relaxed)
# * formation energy without anion corrections: 606.1 meV per atom
# * energy relative to the lowest polymorph listed for this composition: 357.3 meV per atom
data_Re2RuSe
_space_group_name_H-M_alt 'F m -3 m'
_space_group_IT_number 225
_space_group_name_Hall '-F 4 2 3'
_cell_length_a 6.200
_cell_length_b 6.200
_cell_length_c 6.200
_cell_angle_alpha 90.00
_cell_angle_beta 90.00
_cell_angle_gamma 90.00
loop_
_atom_site_label
_atom_site_type_symbol
_atom_site_fract_x
_atom_site_fract_y
_atom_site_fract_z
_atom_site_occupancy
Re1 Re 0.250 0.250 0.250 1
Ru1 Ru 0.000 0.000 0.000 1
Se1 Se 0.000 0.000 0.500 1

***

no.,size of the total moment (μB/f.u.)
1,0.00
2,0.00
3,0.00
4,0.00
5,0.00
6,0.00
7,0.12
8,0.00
9,2.93
10,0.00
11,3.23
12,0.00